The following is a DFT calculation (GGA+U) of a relaxed structure of KTmVO4.

Cell: 5.875 5.889 7.366 Å, 90.00 108.43 90.00°
Fractional coordinates of all 14 atoms:
K 0.215 0.250 0.444
K 0.785 0.750 0.556
Tm 0.324 0.250 0.962
Tm 0.676 0.750 0.038
V 0.212 0.750 0.153
V 0.788 0.250 0.847
O 0.008 0.750 0.923
O 0.026 0.750 0.302
O 0.452 0.526 0.171
O 0.452 0.974 0.171
O 0.548 0.026 0.829
O 0.548 0.474 0.829
O 0.974 0.250 0.698
O 0.992 0.250 0.077

Computed properties:
Symmetry: P2_1/m (11)
Calculated total energy, eV for the cell shown: -100.3
Size of the total moment, μB per atom: 0.143